# PBE+U Li4Pu3MnO12, optimized geometry
# Electronic total energy in eV/atom: -8.035
# N(E_F) in states/eV/cell: 35.089
# Spin magnetization in μB per cell: 33.000
# V in Å³ per cell: 827
# Density in g/cm³: 6.07
data_Li4Pu3MnO12
_cell_length_a 11.0870
_cell_length_b 11.0870
_cell_length_c 7.7656
_cell_angle_alpha 90.00
_cell_angle_beta 90.00
_cell_angle_gamma 120.00
_symmetry_space_group_name_H-M 'R 3 2'
_symmetry_Int_Tables_number 155
_symmetry_space_group_name_Hall 'R 3 2"'
loop_
_atom_site_label
_atom_site_fract_x
_atom_site_fract_y
_atom_site_fract_z
_atom_site_occupancy
Li1 0.0000 0.0000 0.0000 1
Li2 0.0000 0.4381 0.0000 1
Pu1 0.0000 0.5557 0.5000 1
Mn1 0.0000 0.0000 0.5000 1
O1 0.0000 0.6075 0.0000 1
O2 0.0000 0.8360 0.0000 1
O3 0.0584 0.2138 0.6793 1